[1]
A relaxed SiOs2Cl crystal, computed with PBE.

Summary:
E_form (uncorrected)	58	kJ per mole of atoms
energy relative to the lowest polymorph listed for this composition	108	kJ/mol of formula units
magnetic moment	0.000	μB per atom

a b c (Å): 5.611 5.611 5.611
angles (deg): 151.07 133.66 55.56
Fractional positions:
Cl  0.250  0.750  0.500
Os  0.955  0.955  0.000
Os  0.545  0.545  0.000
Si  0.750  0.250  0.500

[2]
A relaxed Ac2NdSn crystal, computed with PBE.

Summary:
E_form	-138	kJ/mol of formula units
energy relative to the lowest polymorph listed for this composition	0	kJ/mol of formula units
magnetic moment	0.000	μB per atom

a b c (Å): 5.149 5.222 5.222
angles (deg): 90.00 90.00 90.00
Fractional positions:
Ac  0.000  0.000  0.500
Ac  0.000  0.500  0.000
Nd  0.500  0.500  0.500
Sn  0.500  0.000  0.000

[3]
A relaxed TePPdN2 crystal, computed with PBE.

Summary:
E_form (uncorrected)	92	kJ per mole of atoms
energy relative to the lowest polymorph listed for this composition	0	kJ/mol of formula units
magnetic moment	0.111	μB per atom

a b c (Å): 3.546 3.546 6.605
angles (deg): 90.00 90.00 90.00
Each line ends with the local moment (μB).
Fractional positions:
P  0.000  0.000  0.000  0.00
Te  0.000  0.000  0.500  0.00
Pd  0.500  0.500  0.500  0.00
N  0.000  0.500  0.000  0.20
N  0.500  0.000  0.000  0.20

[4]
A relaxed NaHgH2Pd2 crystal, computed with PBE.

Summary:
total DFT energy (no corrections)	-39.52	eV for the cell shown
magnetic moment	0.000	μB per atom

a b c (Å): 5.646 4.671 7.514
angles (deg): 98.61 90.00 90.00
Fractional positions:
Na  0.750  0.286  0.613
Na  0.250  0.714  0.387
Hg  0.250  0.369  0.903
Hg  0.750  0.631  0.097
H  0.250  0.209  0.329
H  0.250  0.801  0.681
H  0.750  0.791  0.671
H  0.750  0.199  0.319
Pd  0.499  0.159  0.186
Pd  0.001  0.159  0.186
Pd  0.999  0.841  0.814
Pd  0.501  0.841  0.814